No. 1
An optimized crystal structure of BiPOs3. Source: the Alexandria database, functional PBE.

Unit cell a=4.9927 b=4.9927 c=4.9927 alpha=90.00 beta=90.00 gamma=90.00
With the nearest neighbours (Å) after each atom.
Sites, in units of the cell vectors:
Bi  0.0000  0.0000  0.0000  6 Os 2.50
P  0.5000  0.5000  0.5000  12 Os 3.53
Os  0.0000  0.0000  0.5000  2 Bi 2.50
Os  0.0000  0.5000  0.0000  2 Bi 2.50
Os  0.5000  0.0000  0.0000  2 Bi 2.50

The energy of formation comes out at 16.5 eV per formula unit. The calculation puts the total energy at -26.46 eV/cell. As for the crystal system: cubic.



No. 2
An optimized crystal structure of Be2VGe. Source: the Alexandria database, functional PBE.

Unit cell a=4.4591 b=4.4591 c=4.4591 alpha=48.55 beta=48.55 gamma=48.55
With the nearest neighbours (Å) after each atom.
Sites, in units of the cell vectors:
Be  0.2178  0.2178  0.2178  3 Ge 2.20, 3 Be 2.44
Be  0.7822  0.7822  0.7822  3 Ge 2.20, 3 Be 2.44
V  0.0000  0.0000  0.0000  8 Be 2.52-2.56
Ge  0.5000  0.5000  0.5000  6 Be 2.20

The energy of formation comes out at 0.9 eV per formula unit. The calculation puts the total energy at -20.26 eV/cell. As for the crystal system: trigonal.



No. 3
An optimized crystal structure of Hf2V2Ge3. Source: the Alexandria database, functional PBE.

Unit cell a=5.4961 b=5.4961 c=6.8130 alpha=110.73 beta=110.73 gamma=38.34
With the nearest neighbours (Å) after each atom.
Sites, in units of the cell vectors:
Hf  0.0991  0.0991  0.2517  5 Ge 2.76-2.91, 4 V 2.90-2.99
Hf  0.9009  0.9009  0.7483  5 Ge 2.76-2.91, 4 V 2.90-2.99
V  0.3653  0.3653  0.0746  4 Ge 2.51-2.71
V  0.6347  0.6347  0.9254  4 Ge 2.51-2.71
Ge  0.1901  0.1901  0.7008  3 V 2.51-2.57, 2 Ge 2.65, 2 Hf 2.76
Ge  0.5000  0.5000  0.5000  4 Ge 2.65, 2 V 2.71, 4 Hf 2.91
Ge  0.8099  0.8099  0.2992  3 V 2.51-2.57, 2 Ge 2.65, 2 Hf 2.76

The energy of formation comes out at -2.2 eV per formula unit. The calculation puts the total energy at -54.24 eV/cell. As for the crystal system: monoclinic.